(1)
PBE HoHf2S6, optimized geometry; space-group type = No. 136; DFT total energy = -124.53 eV for the cell shown
1.0
6.145 0.000 0.000
0.000 6.145 0.000
0.000 0.000 11.494
Ho Hf S
2 4 12
Cartesian
0.000 0.000 0.000
3.072 3.072 5.747
0.000 0.000 3.853
0.000 0.000 7.641
3.072 3.072 1.894
3.072 3.072 9.600
1.170 1.170 5.747
1.261 1.261 2.054
1.261 1.261 9.440
1.812 4.333 3.693
1.812 4.333 7.801
1.903 4.242 0.000
4.242 1.903 0.000
4.333 1.812 3.693
4.333 1.812 7.801
4.884 4.884 2.054
4.884 4.884 9.440
4.975 4.975 5.747

(2)
PBE DyTm2Hf, optimized geometry; space-group type = No. 160; calculated formation energy = 0.0920 eV per atom
1.0
1.707 0.986 11.056
-1.707 0.986 11.056
0.000 -1.971 11.056
Dy Tm Hf
1 2 1
Cartesian
0.000 0.000 0.000
0.000 0.000 19.164
0.000 0.000 25.034
0.000 0.000 5.506

(3)
PBE LaGd2Pa, optimized geometry; space-group type = No. 166; calculated formation energy = 0.3198 eV per atom
1.0
1.684 0.973 12.432
-1.684 0.973 12.432
0.000 -1.945 12.432
La Gd Pa
1 2 1
Cartesian
0.000 0.000 0.000
0.000 0.000 15.470
0.000 0.000 21.826
0.000 0.000 18.648

| no. | DOS at the Fermi energy (states/eV/f.u.) |
| --- | --- |
| 1 | 5.46 |
| 2 | 6.13 |
| 3 | 6.36 |